P.
V3O5F | PBE+U | relaxed

Cell lengths 5.5197, 5.5222, 7.2695 Å; angles 71.05, 70.86, 73.79 degrees
Space group P1 (No. 1)
Inequivalent atoms, fractional coordinates:
V (0.0000, 0.0000, 0.0000) x1
V (0.0281, 0.0119, 0.4885) x1
V (0.3377, 0.3295, 0.1554) x1
V (0.3691, 0.3640, 0.6347) x1
V (0.6960, 0.6834, 0.3295) x1
V (0.7264, 0.6512, 0.8031) x1
O (0.0121, 0.3560, 0.8134) x1
O (0.0629, 0.6478, 0.1455) x1
O (0.1207, 0.1131, 0.1787) x1
O (0.2672, 0.2623, 0.4380) x1
O (0.3219, 0.7153, 0.4883) x1
O (0.4687, 0.4537, 0.8566) x1
O (0.6523, 0.0514, 0.1495) x1
O (0.7162, 0.3017, 0.4980) x1
O (0.7966, 0.7664, 0.5227) x1
O (0.9092, 0.8893, 0.8006) x1
F (0.3915, 0.9734, 0.8161) x1
F (0.5974, 0.5707, 0.1197) x1

Values from the calculation:
Total moment, μB/f.u.: 4.0

=====

Q.
V3O5F | PBE+U | relaxed

Cell lengths 4.5769, 5.4942, 7.6860 Å; angles 87.39, 89.22, 88.53 degrees
Space group P-1 (No. 2)
Inequivalent atoms, fractional coordinates:
V (0.0000, 0.0000, 0.0000) x1
V (0.0110, 0.3416, 0.6718) x2
V (0.4806, 0.8338, 0.6497) x2
V (0.5000, 0.5000, 0.0000) x1
O (0.1875, 0.6996, 0.1038) x2
O (0.2018, 0.3704, 0.4293) x2
O (0.2091, 0.0283, 0.7648) x2
O (0.2977, 0.8717, 0.4323) x2
O (0.2988, 0.5312, 0.7623) x2
F (0.3078, 0.1959, 0.1064) x2

Values from the calculation:
Total moment, μB/f.u.: 4.0

=====

R.
V3O5F | PBE+U | relaxed

Cell lengths 6.7257, 6.4386, 8.9872 Å; angles 90.00, 90.32, 90.00 degrees
Space group C2/m (No. 12)
Inequivalent atoms, fractional coordinates:
V (0.0000, 0.0000, 0.0000) x2
V (0.0000, 0.5000, 0.5000) x2
V (0.0084, 0.0000, 0.3487) x4
V (0.0409, 0.5000, 0.8331) x4
O (0.0000, 0.3081, 0.0000) x4
O (0.0041, 0.3042, 0.6668) x8
O (0.1931, 0.0000, 0.1720) x4
O (0.2060, 0.0000, 0.4977) x4
F (0.1997, 0.0000, 0.8271) x4

Values from the calculation:
Total moment, μB/f.u.: 4.0

=====

S.
V3O5F | PBE+U | relaxed

Cell lengths 6.4145, 20.0619, 2.9948 Å; angles 90.00, 90.00, 90.00 degrees
Space group Cmmm (No. 65)
Inequivalent atoms, fractional coordinates:
V (0.0000, 0.0000, 0.0000) x2
V (0.0000, 0.1610, 0.5000) x4
V (0.0000, 0.3220, 0.0000) x4
V (0.0000, 0.5000, 0.5000) x2
O (0.0000, 0.0645, 0.5000) x4
O (0.0000, 0.2634, 0.5000) x4
O (0.1964, 0.5000, 0.0000) x4
O (0.2094, 0.1656, 0.0000) x8
F (0.0000, 0.3958, 0.5000) x4

Values from the calculation:
Total moment, μB/f.u.: 4.0

=====

Most favorable structure: R. The second most favorable one is 8 meV/atom above it.

=====

P.
V3O5F | PBE+U | relaxed

Cell lengths 8.9688, 6.4740, 7.3148 Å; angles 90.00, 114.45, 90.00 degrees
Space group Cm (No. 8)
Inequivalent atoms, fractional coordinates:
V (0.0000, 0.0000, 0.0000) x2
V (0.0054, 0.0000, 0.5222) x2
V (0.1682, 0.5000, 0.1647) x2
V (0.1863, 0.5000, 0.6787) x2
V (0.3336, 0.0000, 0.8539) x2
V (0.3519, 0.0000, 0.3265) x2
O (0.0119, 0.2990, 0.0169) x4
O (0.0761, 0.5000, 0.3804) x2
O (0.1661, 0.2004, 0.6673) x4
O (0.2379, 0.0000, 0.0467) x2
O (0.2615, 0.5000, 0.9622) x2
O (0.3426, 0.2964, 0.3416) x4
O (0.4026, 0.5000, 0.6998) x2
F (0.1106, 0.0000, 0.3122) x2
F (0.4427, 0.0000, 0.6421) x2

Values from the calculation:
Total moment, μB/f.u.: 4.0

=====

Q.
V3O5F | PBE+U | relaxed

Cell lengths 5.5242, 5.5336, 7.1042 Å; angles 72.71, 72.44, 74.70 degrees
Space group P-1 (No. 2)
Inequivalent atoms, fractional coordinates:
V (0.0000, 0.0000, 0.0000) x1
V (0.0000, 0.0000, 0.5000) x1
V (0.2899, 0.3751, 0.1654) x2
V (0.3513, 0.3466, 0.6512) x2
O (0.0150, 0.6375, 0.1725) x2
O (0.1018, 0.1044, 0.2019) x2
O (0.2351, 0.2368, 0.4587) x2
O (0.2932, 0.7084, 0.4979) x2
O (0.4375, 0.4403, 0.8685) x2
F (0.3764, 0.9706, 0.8277) x2

Values from the calculation:
Total moment, μB/f.u.: 4.0

=====

R.
V3O5F | PBE+U | relaxed

Cell lengths 9.2162, 6.3493, 6.6433 Å; angles 90.00, 90.00, 90.00 degrees
Space group Amm2 (No. 38)
Inequivalent atoms, fractional coordinates:
V (0.0000, 0.0000, 0.0000) x2
V (0.1559, 0.0000, 0.5009) x4
V (0.3355, 0.0000, 0.0404) x4
V (0.5000, 0.0000, 0.5016) x2
O (0.0000, 0.0000, 0.3100) x2
O (0.0000, 0.0000, 0.6956) x2
O (0.1748, 0.2042, 0.0049) x8
O (0.3322, 0.0000, 0.3084) x4
O (0.5000, 0.1926, 0.0073) x4
F (0.3321, 0.0000, 0.7097) x4

Values from the calculation:
Total moment, μB/f.u.: 4.0

=====

S.
V3O5F | PBE+U | relaxed

Cell lengths 5.5276, 4.5940, 7.6431 Å; angles 90.00, 92.83, 90.00 degrees
Space group P2_1 (No. 4)
Inequivalent atoms, fractional coordinates:
V (0.0710, 0.0000, 0.3383) x2
V (0.2505, 0.4597, 0.9818) x2
V (0.4146, 0.9534, 0.6631) x2
O (0.0520, 0.1685, 0.1043) x2
O (0.1139, 0.7577, 0.5580) x2
O (0.2073, 0.2682, 0.7670) x2
O (0.3791, 0.1446, 0.4289) x2
O (0.4509, 0.7580, 0.9093) x2
F (0.2756, 0.6615, 0.2311) x2

Values from the calculation:
Total moment, μB/f.u.: 4.0

=====

Most favorable structure: R. The second most favorable one is 7 meV/atom above it.

=====

P.
V3O4F2 | PBE+U | relaxed

Cell lengths 4.7436, 5.6257, 7.7034 Å; angles 84.66, 87.05, 85.95 degrees
Space group P-1 (No. 2)
Inequivalent atoms, fractional coordinates:
V (0.0000, 0.0000, 0.0000) x1
V (0.0058, 0.6678, 0.3363) x2
V (0.4507, 0.1318, 0.3180) x2
V (0.5000, 0.5000, 0.0000) x1
O (0.1970, 0.9581, 0.2316) x2
O (0.2979, 0.4544, 0.2351) x2
O (0.3093, 0.1303, 0.5638) x2
O (0.3090, 0.8050, 0.8951) x2
F (0.1939, 0.3032, 0.8983) x2
F (0.1966, 0.6302, 0.5672) x2

Values from the calculation:
Total moment, μB/f.u.: 5.0

=====

Q.
V3O4F2 | PBE+U | relaxed

Cell lengths 5.6161, 4.6566, 7.7265 Å; angles 90.00, 92.95, 90.00 degrees
Space group P2_1 (No. 4)
Inequivalent atoms, fractional coordinates:
V (0.0847, 0.0000, 0.3472) x2
V (0.2649, 0.5350, 0.0042) x2
V (0.3925, 0.0440, 0.6894) x2
O (0.1217, 0.8279, 0.5756) x2
O (0.2104, 0.3193, 0.7725) x2
O (0.2963, 0.7126, 0.2359) x2
O (0.4455, 0.8305, 0.8939) x2
F (0.0587, 0.2116, 0.1013) x2
F (0.3924, 0.2265, 0.4431) x2

Values from the calculation:
Total moment, μB/f.u.: 5.0

=====

Most favorable structure: Q. The second most favorable one is 9 meV/atom above it.

=====

P.
V3O4F2 | PBE+U | relaxed

Cell lengths 4.6916, 5.6176, 7.7141 Å; angles 85.54, 88.71, 88.58 degrees
Space group P1 (No. 1)
Inequivalent atoms, fractional coordinates:
V (0.0000, 0.0000, 0.0000) x1
V (0.0009, 0.3372, 0.6857) x1
V (0.0378, 0.6724, 0.3568) x1
V (0.4504, 0.1664, 0.3391) x1
V (0.5125, 0.8459, 0.6840) x1
V (0.5162, 0.5058, 0.0159) x1
O (0.1877, 0.6970, 0.1317) x1
O (0.2091, 0.0457, 0.7669) x1
O (0.2200, 0.3741, 0.4469) x1
O (0.3160, 0.1976, 0.1186) x1
O (0.3178, 0.8784, 0.4423) x1
O (0.7010, 0.7988, 0.9121) x1
O (0.8067, 0.3019, 0.9103) x1
O (0.8247, 0.6454, 0.5625) x1
F (0.3072, 0.5427, 0.7828) x1
F (0.7061, 0.1425, 0.5666) x1
F (0.7115, 0.4587, 0.2532) x1
F (0.8039, 0.9752, 0.2565) x1

Values from the calculation:
Total moment, μB/f.u.: 5.0

=====

Q.
V3O4F2 | PBE+U | relaxed

Cell lengths 4.6377, 5.5833, 7.7496 Å; angles 86.56, 88.72, 88.81 degrees
Space group P1 (No. 1)
Inequivalent atoms, fractional coordinates:
V (0.0000, 0.0000, 0.0000) x1
V (0.0058, 0.6490, 0.3041) x1
V (0.4624, 0.4632, 0.9666) x1
V (0.5022, 0.1543, 0.3186) x1
V (0.5122, 0.8072, 0.6473) x1
V (0.9714, 0.3289, 0.6360) x1
O (0.1879, 0.3552, 0.4182) x1
O (0.2095, 0.6800, 0.0761) x1
O (0.2893, 0.5164, 0.7464) x1
O (0.3036, 0.1886, 0.0838) x1
O (0.7001, 0.1161, 0.5598) x1
O (0.7875, 0.2949, 0.8805) x1
O (0.8004, 0.6141, 0.5402) x1
O (0.8017, 0.9488, 0.2231) x1
F (0.1920, 0.0206, 0.7501) x1
F (0.3015, 0.8526, 0.4193) x1
F (0.6918, 0.4521, 0.2038) x1
F (0.7010, 0.7837, 0.8830) x1

Values from the calculation:
Total moment, μB/f.u.: 5.0

=====

Most favorable structure: Q. The second most favorable one is 17 meV/atom above it.

=====

P.
V3O4F2 | PBE+U | relaxed

Cell lengths 4.7012, 5.6359, 7.6552 Å; angles 85.78, 87.19, 87.28 degrees
Space group P1 (No. 1)
Inequivalent atoms, fractional coordinates:
V (0.0000, 0.0000, 0.0000) x1
V (0.0018, 0.3320, 0.6532) x1
V (0.5010, 0.8351, 0.6624) x1
V (0.5232, 0.1866, 0.3321) x1
V (0.5267, 0.5235, 0.0025) x1
V (0.9717, 0.6583, 0.3207) x1
O (0.3018, 0.4918, 0.2170) x1
O (0.3088, 0.8074, 0.8975) x1
O (0.3154, 0.1352, 0.5645) x1
O (0.6961, 0.5304, 0.7740) x1
O (0.7045, 0.2183, 0.0931) x1
O (0.7190, 0.8641, 0.4290) x1
O (0.8051, 0.7098, 0.0998) x1
O (0.8127, 0.3786, 0.4276) x1
F (0.1988, 0.3050, 0.8932) x1
F (0.2019, 0.6335, 0.5549) x1
F (0.2027, 0.9755, 0.2334) x1
F (0.8111, 0.0319, 0.7618) x1

Values from the calculation:
Total moment, μB/f.u.: 5.0

=====

Q.
V3O4F2 | PBE+U | relaxed

Cell lengths 5.0947, 5.1154, 5.5666 Å; angles 91.95, 116.44, 118.42 degrees
Space group P1 (No. 1)
Inequivalent atoms, fractional coordinates:
V (0.0000, 0.0000, 0.0000) x1
V (0.0469, 0.5055, 0.5547) x1
V (0.6299, 0.2958, 0.9274) x1
O (0.1989, 0.9222, 0.7757) x1
O (0.5449, 0.5913, 0.7899) x1
O (0.8532, 0.2473, 0.7463) x1
O (0.8908, 0.1852, 0.2235) x1
F (0.1253, 0.7465, 0.2510) x1
F (0.5202, 0.3836, 0.2355) x1

Values from the calculation:
Total moment, μB/f.u.: 5.0

=====

R.
V3O4F2 | PBE+U | relaxed

Cell lengths 3.0820, 4.6791, 13.9261 Å; angles 90.00, 90.00, 90.00 degrees
Space group Pmn2_1 (No. 31)
Inequivalent atoms, fractional coordinates:
V (0.0000, 0.1900, 0.0000) x2
V (0.0000, 0.2558, 0.6725) x2
V (0.0000, 0.3044, 0.3481) x2
O (0.0000, 0.5212, 0.9074) x2
O (0.0000, 0.5511, 0.2437) x2
O (0.0000, 0.9271, 0.1071) x2
O (0.0000, 0.9949, 0.4338) x2
F (0.0000, 0.5847, 0.5717) x2
F (0.0000, 0.9242, 0.7751) x2

Values from the calculation:
Total moment, μB/f.u.: 5.0

=====

S.
V3O4F2 | PBE+U | relaxed

Cell lengths 4.6576, 4.6537, 10.3957 Å; angles 90.00, 116.48, 90.00 degrees
Space group Pc (No. 7)
Inequivalent atoms, fractional coordinates:
V (0.0000, 0.2234, 0.0000) x2
V (0.2412, 0.2720, 0.3156) x2
V (0.6216, 0.2517, 0.6587) x2
O (0.2466, 0.0581, 0.4894) x2
O (0.3014, 0.4470, 0.1510) x2
O (0.9112, 0.0614, 0.1530) x2
O (0.9699, 0.4320, 0.8283) x2
F (0.5827, 0.0408, 0.8288) x2
F (0.6438, 0.4621, 0.4845) x2

Values from the calculation:
Total moment, μB/f.u.: 5.0

=====

Most favorable structure: S. The second most favorable one is 5 meV/atom above it.